1.
Ge2Rh2Se, relaxed, DFT PBE; ΔE to the lowest computed polymorph = 74.6 meV per atom; crystal system = tetragonal
1.0
3.795 0.000 0.000
0.000 3.795 0.000
1.898 1.898 6.061
Ge Rh Se
2 2 1
direct
0.750 0.250 0.500 Ge
0.250 0.750 0.500 Ge
0.378 0.378 0.244 Rh
0.622 0.622 0.756 Rh
0.000 0.000 0.000 Se

---

2.
TeOs2Pt, relaxed, DFT PBE; raw total energy = -7.184 eV/atom; crystal system = tetragonal
1.0
-1.426 4.661 0.653
-1.158 1.911 -4.380
-1.421 -4.163 2.198
Os Pt Te
2 1 1
direct
0.000 0.000 0.000 Os
0.250 0.750 0.500 Os
0.500 0.500 0.000 Pt
0.750 0.250 0.500 Te

---

Q: Which formula does entry 1 have?
A: Ge2Rh2Se